# 1
LaPm3Tl: optimized geometry, PBE.

## Properties
- density of states at the Fermi level (states/eV/cell) = 24.53
- formation energy from the elements (eV per atom) = -0.0343
- total energy (eV per atom) = -4.343
- energy relative to the lowest polymorph listed for this composition (meV/atom) = 0.0
- SG = No. 62

Cell: 6.9298 9.8420 10.1255 Å, 90.00 90.00 90.00°
Fractional coordinates of all 20 atoms:
Pm: 0.8931 0.1841 0.0643
Tl: 0.5000 0.0000 0.5000
Pm: 0.3931 0.3159 0.0643
La: 0.7228 0.5020 0.2500
Pm: 0.6069 0.6841 0.9357
Pm: 0.6069 0.6841 0.5643
La: 0.2228 0.9980 0.2500
La: 0.7772 0.0020 0.7500
Pm: 0.2575 0.6377 0.2500
Pm: 0.8931 0.1841 0.4357
Tl: 0.5000 0.0000 0.0000
Tl: 0.0000 0.5000 0.0000
Tl: 0.0000 0.5000 0.5000
Pm: 0.7425 0.3623 0.7500
Pm: 0.2425 0.1377 0.7500
Pm: 0.7575 0.8623 0.2500
Pm: 0.1069 0.8159 0.5643
Pm: 0.1069 0.8159 0.9357
Pm: 0.3931 0.3159 0.4357
La: 0.2772 0.4980 0.7500

---

# 2
LaPm2Tl3: optimized geometry, PBE.

## Properties
- density of states at the Fermi level (states/eV/cell) = 5.56
- formation energy from the elements (eV per atom) = -0.4025
- total energy (eV per atom) = -3.990
- SG = No. 123

Cell: 3.8815 3.8815 11.9555 Å, 90.00 90.00 90.00°
Fractional coordinates of all 6 atoms:
Tl: 0.0000 0.0000 0.0000
Tl: 0.0000 0.0000 0.6756
Pm: 0.5000 0.5000 0.8372
Tl: 0.0000 0.0000 0.3244
La: 0.5000 0.5000 0.5000
Pm: 0.5000 0.5000 0.1628

---

# 3
La7Pm4Tl: optimized geometry, PBE.

## Properties
- density of states at the Fermi level (states/eV/cell) = 17.79
- formation energy from the elements (eV per atom) = 0.1124
- total energy (eV per atom) = -4.543
- SG = No. 12

Cell: 6.1584 9.8073 9.0822 Å, 60.39 70.18 71.70°
Fractional coordinates of all 12 atoms:
Pm: 0.4197 0.6915 0.4691
Pm: 0.3191 0.4064 0.9555
La: 0.2148 0.1308 0.4397
Pm: 0.5803 0.3085 0.5309
Tl: 0.0000 0.0000 0.0000
Pm: 0.6809 0.5936 0.0445
La: 0.2067 0.7911 0.7954
La: 0.7852 0.8692 0.5603
La: 0.7933 0.2089 0.2046
La: 0.9291 0.4041 0.7378
La: 0.5000 0.0000 0.0000
La: 0.0709 0.5959 0.2622